# TaSe3Cl (PBE, optimized geometry)
# - formation energy without anion corrections (meV/atom) = 1294
data_TaSe3Cl
_space_group_name_H-M_alt 'P m -3 m'
_space_group_IT_number 221
_space_group_name_Hall '-P 4 2 3'
_cell_length_a 4.7942
_cell_length_b 4.7942
_cell_length_c 4.7942
_cell_angle_alpha 90.00
_cell_angle_beta 90.00
_cell_angle_gamma 90.00
loop_
_atom_site_label
_atom_site_type_symbol
_atom_site_fract_x
_atom_site_fract_y
_atom_site_fract_z
Ta1 Ta 0.0000 0.0000 0.0000
Se1 Se 0.0000 0.5000 0.5000
Cl1 Cl 0.5000 0.5000 0.5000

# LiLuScFe (PBE, optimized geometry)
# - formation energy from the elements (eV per atom) = 0.03
data_LiLuScFe
_space_group_name_H-M_alt 'F -4 3 m'
_space_group_IT_number 216
_space_group_name_Hall 'F -4 2 3'
_cell_length_a 6.5678
_cell_length_b 6.5678
_cell_length_c 6.5678
_cell_angle_alpha 90.00
_cell_angle_beta 90.00
_cell_angle_gamma 90.00
loop_
_atom_site_label
_atom_site_type_symbol
_atom_site_fract_x
_atom_site_fract_y
_atom_site_fract_z
Li1 Li 0.0000 0.0000 0.0000
Lu1 Lu 0.2500 0.2500 0.2500
Sc1 Sc 0.2500 0.2500 0.7500
Fe1 Fe 0.0000 0.0000 0.5000

# MgAl2Cd (PBE, optimized geometry)
# - formation energy from the elements (eV per atom) = 0.29
data_MgAl2Cd
_space_group_name_H-M_alt 'I -4 2 d'
_space_group_IT_number 122
_space_group_name_Hall 'I -4 2bw'
_cell_length_a 7.9040
_cell_length_b 7.9040
_cell_length_c 5.6837
_cell_angle_alpha 90.00
_cell_angle_beta 90.00
_cell_angle_gamma 90.00
loop_
_atom_site_label
_atom_site_type_symbol
_atom_site_fract_x
_atom_site_fract_y
_atom_site_fract_z
Mg1 Mg 0.0000 0.0000 0.0000
Al1 Al 0.2341 0.2500 0.6250
Cd1 Cd 0.0000 0.0000 0.5000

Density of states at the Fermi level for every record listed, in sequence, given in states/eV per atom: 1.2630, 0.8096, 0.4650.